Entry 1:
Below is Fe2Ni3Ir2 after structural relaxation, with properties calculated at the GGA-PBE level.

Geometry as extended XYZ:
```
7
Lattice="-3.310 1.539 -0.096 0.378 -3.683 -2.633 -1.412 -2.735 4.826" Properties=species:S:1:pos:R:3 pbc="T T T"
Fe -2.867 -1.642 3.055
Ir -3.387 -2.901 0.814
Ir -0.957 -1.977 1.283
Fe -1.477 -3.236 -0.958
Ni -2.389 -0.840 -0.550
Ni -1.955 -4.039 2.647
Ni 0.000 0.000 0.000
```

Computed properties:
calculated formation energy = -0.032 eV/atom
total energy = -7.460 eV/atom
size of the total moment = 0.945 μB/atom
ρ = 12953 kg/m³
density of states at the Fermi level = 8.73 states/eV per cell
SG = C2/m, No. 12


Entry 2:
Below is Fe4NiIr7 after structural relaxation, with properties calculated at the GGA-PBE level.

Geometry as extended XYZ:
```
12
Lattice="1.350 -2.337 0.000 1.350 2.337 0.000 0.000 0.000 25.657" Properties=species:S:1:pos:R:3 pbc="T T T"
Fe 1.350 0.779 17.028
Ni 0.000 0.000 12.829
Ir 1.350 -0.779 21.438
Ir 1.350 -0.779 14.936
Ir 0.000 0.000 0.000
Fe 1.350 0.779 23.520
Ir 1.350 0.779 4.220
Fe 1.350 -0.779 8.629
Fe 1.350 -0.779 2.137
Ir 0.000 0.000 19.121
Ir 1.350 0.779 10.721
Ir 0.000 0.000 6.536
```

Computed properties:
calculated formation energy = -0.030 eV/atom
total energy = -8.502 eV/atom
size of the total moment = 0.811 μB/atom
ρ = 16697 kg/m³
density of states at the Fermi level = 13.63 states/eV per cell
SG = P-3m1, No. 164


Entry 3:
Below is Fe2Ni3Ir4 after structural relaxation, with properties calculated at the GGA-PBE level.

Geometry as extended XYZ:
```
9
Lattice="-2.694 2.212 -1.382 -2.015 -1.570 -3.673 -5.453 -4.951 2.707" Properties=species:S:1:pos:R:3 pbc="T T T"
Ni -4.007 -2.005 -0.484
Fe -4.346 -0.670 -2.774
Ir -6.313 -1.085 0.399
Ir -7.978 -3.976 -0.985
Ni 0.000 0.000 0.000
Fe -5.815 -3.639 0.426
Ir -2.184 -0.333 -1.362
Ni -6.155 -2.304 -1.863
Ir -3.848 -3.224 -2.746
```

Computed properties:
calculated formation energy = -0.033 eV/atom
total energy = -7.779 eV/atom
size of the total moment = 0.564 μB/atom
ρ = 15278 kg/m³
density of states at the Fermi level = 12.30 states/eV per cell
SG = C2/m, No. 12


Entry 4:
Below is Fe4Ni15Ir after structural relaxation, with properties calculated at the GGA-PBE level.

Geometry as extended XYZ:
```
20
Lattice="3.565 0.000 0.000 0.000 3.565 0.000 0.000 0.000 17.768" Properties=species:S:1:pos:R:3 pbc="T T T"
Ni 1.783 1.783 0.000
Ni 0.000 1.783 8.884
Ni 1.783 0.000 5.373
Ni 1.783 1.783 7.127
Fe 0.000 0.000 14.144
Ni 1.783 0.000 1.857
Ir 0.000 0.000 0.000
Ni 1.783 0.000 8.884
Fe 0.000 0.000 10.638
Ni 1.783 0.000 15.911
Ni 0.000 1.783 5.373
Ni 1.783 0.000 12.395
Fe 0.000 0.000 7.130
Ni 0.000 1.783 12.395
Ni 1.783 1.783 10.641
Fe 0.000 0.000 3.624
Ni 1.783 1.783 3.610
Ni 1.783 1.783 14.158
Ni 0.000 1.783 15.911
Ni 0.000 1.783 1.857
```

Computed properties:
calculated formation energy = -0.054 eV/atom
total energy = -6.526 eV/atom
size of the total moment = 1.093 μB/atom
ρ = 9529 kg/m³
density of states at the Fermi level = 19.99 states/eV per cell
SG = P4/mmm, No. 123


Entry 5:
Below is FeNi8Ir2 after structural relaxation, with properties calculated at the GGA-PBE level.

Geometry as extended XYZ:
```
11
Lattice="-1.936 3.042 -0.171 -1.586 -1.310 -5.345 -3.522 -4.162 3.957" Properties=species:S:1:pos:R:3 pbc="T T T"
Fe -0.968 1.521 -0.085
Ni -4.580 -2.901 0.245
Ni -5.486 -1.238 1.993
Ir -3.027 -2.021 -1.683
Ni -4.037 -0.628 -3.582
Ni -2.465 0.472 -1.804
Ni -1.559 -1.191 -3.552
Ni -3.008 -1.801 2.023
Ir -4.018 -0.408 0.124
Ni -1.469 -0.931 0.072
Ni -5.576 -1.498 -1.631
```

Computed properties:
calculated formation energy = -0.012 eV/atom
total energy = -6.597 eV/atom
size of the total moment = 0.759 μB/atom
ΔE to the lowest computed polymorph = 0.000 eV/atom
ρ = 11699 kg/m³
density of states at the Fermi level = 17.32 states/eV per cell
SG = C2/m, No. 12


Entry 6:
Below is Fe5NiIr4 after structural relaxation, with properties calculated at the GGA-PBE level.

Geometry as extended XYZ:
```
10
Lattice="-0.839 1.522 2.016 1.333 -1.538 1.716 14.561 10.520 -1.879" Properties=species:S:1:pos:R:3 pbc="T T T"
Ir 5.790 4.183 -0.747
Fe 7.527 5.252 0.926
Ir 2.871 2.075 -0.370
Fe 13.447 9.529 0.163
Fe 4.571 3.116 1.308
Ir 8.771 6.337 -1.132
Fe 1.608 0.975 1.690
Fe 10.484 7.388 0.545
Ir 11.690 8.446 -1.508
Ni 0.000 0.000 0.000
```

Computed properties:
calculated formation energy = -0.029 eV/atom
total energy = -8.383 eV/atom
size of the total moment = 1.214 μB/atom
ρ = 14362 kg/m³
density of states at the Fermi level = 10.92 states/eV per cell
SG = P4/mmm, No. 123


Entry 7:
Below is Fe2Ni7Ir2 after structural relaxation, with properties calculated at the GGA-PBE level.

Geometry as extended XYZ:
```
11
Lattice="4.252 1.817 2.077 2.009 6.686 0.810 2.009 -0.087 6.734" Properties=species:S:1:pos:R:3 pbc="T T T"
Ni 4.210 3.330 7.291
Ir 2.140 2.508 2.867
Ir 6.131 5.908 6.754
Fe 2.009 0.802 5.957
Ni 3.999 4.995 5.711
Ni 4.210 6.784 4.270
Ni 4.061 1.633 5.351
Ni 2.126 0.909 1.039
Ni 4.272 3.421 3.911
Ni 4.061 5.086 2.330
Fe 2.009 5.797 1.587
```

Computed properties:
calculated formation energy = 0.364 eV/atom
total energy = -6.464 eV/atom
size of the total moment = 0.861 μB/atom
ΔE to the lowest computed polymorph = 0.237 eV/atom
ρ = 10618 kg/m³
density of states at the Fermi level = 17.44 states/eV per cell
SG = C2/m, No. 12


Entry 8:
Below is FeNi3Ir7 after structural relaxation, with properties calculated at the GGA-PBE level.

Geometry as extended XYZ:
```
11
Lattice="-4.536 -0.960 -0.731 1.753 0.484 6.237 1.599 6.282 -0.421" Properties=species:S:1:pos:R:3 pbc="T T T"
Ir -0.907 1.025 0.913
Ir -0.277 4.782 4.171
Ni -2.268 -0.480 -0.365
Ir -0.761 2.425 5.129
Ni 1.720 1.729 4.807
Fe -0.592 2.903 2.542
Ir 1.676 3.383 2.908
Ir -0.840 5.395 1.719
Ir -0.422 3.382 -0.044
Ir -0.343 0.412 3.366
Ni 1.632 5.038 1.008
```

Computed properties:
calculated formation energy = 0.436 eV/atom
total energy = -7.549 eV/atom
size of the total moment = 0.220 μB/atom
ρ = 16283 kg/m³
density of states at the Fermi level = 16.17 states/eV per cell
SG = C2/m, No. 12